No. 1
The following is a PBE-GGA calculation of a relaxed LaGa3I crystal, from Alexandria via LeMat-Bulk.

Cell lengths 5.971, 5.971, 5.971 Å; angles 90.00, 90.00, 90.00 degrees
Site moments in Bohr magnetons follow the coordinates.
Sites, in units of the cell vectors:
La 0.000 0.000 0.000  0.17
Ga 0.500 0.000 0.000  0.05
Ga 0.000 0.500 0.000  0.07
Ga 0.000 0.000 0.500  0.04
I 0.500 0.500 0.500  0.08

The uncorrected formation energy is 0.575 eV per atom. Its total energy is -2.54 eV per atom. The calculation puts the volume at 42.58 A^3/atom. Its energy above the most stable polymorph in this dataset is 63 kJ/mol of formula units.

No. 2
The following is a PBE-GGA calculation of a relaxed Pm2TmPd2 crystal, from Alexandria via LeMat-Bulk.

Cell lengths 4.068, 7.850, 7.850 Å; angles 90.00, 90.00, 90.00 degrees
Sites, in units of the cell vectors:
Tm 0.500 0.000 0.500
Tm 0.500 0.500 0.000
Pm 0.000 0.831 0.831
Pm 0.000 0.669 0.331
Pm 0.000 0.331 0.669
Pm 0.000 0.169 0.169
Pd 0.500 0.369 0.369
Pd 0.500 0.631 0.631
Pd 0.500 0.131 0.869
Pd 0.500 0.869 0.131

The calculated formation energy is -0.687 eV per atom. Its total energy is -5.56 eV per atom. The calculation puts the volume at 25.06 A^3/atom. Its energy above the most stable polymorph in this dataset is 4 kJ/mol of formula units.

No. 3
The following is a PBE-GGA calculation of a relaxed BaTl2InHg crystal, from Alexandria via LeMat-Bulk.

Cell lengths 5.077, 5.095, 7.262 Å; angles 110.54, 110.46, 90.00 degrees
Sites, in units of the cell vectors:
Tl 0.055 0.055 0.110
Tl 0.697 0.197 0.393
Hg 0.825 0.825 0.651
In 0.196 0.696 0.392
Ba 0.439 0.439 0.878

The calculated formation energy is -0.296 eV per atom. Its total energy is -2.24 eV per atom. The calculation puts the volume at 32.64 A^3/atom.